# 1
Compound: Pa2Be3FeNi12
Source: Alexandria
Functional: GGA-PBE
Structure: relaxed

## Properties
DFT total energy   -105.72 eV/cell
Volume   249.15 Å³ per cell
Energy of formation from the pure elements   2.932 kcal/mol of atoms
Space group   R-3m (166)

Cell: 6.865 6.865 6.865 Å, 64.05 64.05 64.05°
Fractional coordinates of all 18 atoms:
Pa 0.109 0.109 0.109
Pa 0.891 0.891 0.891
Be 0.000 0.500 0.500
Be 0.500 0.000 0.500
Be 0.500 0.500 0.000
Fe 0.500 0.500 0.500
Ni 0.107 0.641 0.641
Ni 0.141 0.141 0.606
Ni 0.141 0.606 0.141
Ni 0.359 0.359 0.893
Ni 0.359 0.893 0.359
Ni 0.394 0.859 0.859
Ni 0.606 0.141 0.141
Ni 0.641 0.107 0.641
Ni 0.641 0.641 0.107
Ni 0.859 0.394 0.859
Ni 0.859 0.859 0.394
Ni 0.893 0.359 0.359

---

# 2
Compound: Te2AuCl
Source: Alexandria
Functional: GGA-PBE
Structure: relaxed

## Properties
Formation energy without anion corrections   0.231 eV per atom
DFT total energy   -20.97 eV/cell
Volume   286.28 Å³ per cell
Space group   I-42d (122)

Cell: 8.024 8.024 8.024 Å, 131.20 131.20 71.50°
Fractional coordinates of all 8 atoms:
Te 0.069 0.625 0.944
Te 0.375 0.319 0.444
Te 0.681 0.125 0.056
Te 0.875 0.931 0.556
Au 0.000 0.000 0.000
Au 0.750 0.250 0.500
Cl 0.250 0.750 0.500
Cl 0.500 0.500 0.000

---

# 3
Compound: Tl8SeF6
Source: Alexandria
Functional: GGA-PBE
Structure: relaxed

## Properties
Formation energy without anion corrections   -1.432 eV per atom
DFT total energy   -55.13 eV/cell
Volume   445.73 Å³ per cell
Space group   R-3 (148)

Cell: 7.852 7.852 7.852 Å, 75.74 75.74 75.74°
Fractional coordinates of all 15 atoms:
Tl 0.157 0.705 0.358
Tl 0.236 0.236 0.236
Tl 0.295 0.642 0.843
Tl 0.358 0.157 0.705
Tl 0.642 0.843 0.295
Tl 0.705 0.358 0.157
Tl 0.764 0.764 0.764
Tl 0.843 0.295 0.642
Se 0.500 0.500 0.500
F 0.075 0.806 0.657
F 0.194 0.343 0.925
F 0.343 0.925 0.194
F 0.657 0.075 0.806
F 0.806 0.657 0.075
F 0.925 0.194 0.343

---

# 4
Compound: RbCdGa2Pd
Source: Alexandria
Functional: GGA-PBE
Structure: relaxed

## Properties
DFT total energy   -13.96 eV/cell
Volume   133.11 Å³ per cell
Energy of formation from the pure elements   -3.840 kcal/mol of atoms
Space group   P4/mmm (123)

Cell: 4.972 4.972 5.385 Å, 90.00 90.00 90.00°
Fractional coordinates of all 5 atoms:
Rb 0.000 0.000 0.000
Cd 0.500 0.500 0.000
Ga 0.000 0.500 0.500
Ga 0.500 0.000 0.500
Pd 0.500 0.500 0.500